# Tl4Hg5

A relaxed Tl4Hg5 crystal (PBE-GGA, Alexandria).

Lattice parameters (Å, degrees): 3.883 8.431 8.431 86.96 76.69 76.69
Element x y z (fractional)
Tl (0.678, 0.322, 0.322)
Tl (0.322, 0.678, 0.678)
Tl (0.000, 0.678, 0.322)
Tl (0.000, 0.322, 0.678)
Hg (0.000, 0.000, 0.000)
Hg (0.669, 0.000, 0.661)
Hg (0.331, 0.000, 0.339)
Hg (0.331, 0.339, 0.000)
Hg (0.669, 0.661, 0.000)

density of states at the Fermi level	3.3	states/eV per cell
magnetization	0.00	μB per cell
symmetry	I4/mmm
calculated formation energy	0.0054	eV per atom


# LiLa2Br

A relaxed LiLa2Br crystal (PBE-GGA, Alexandria).

Lattice parameters (Å, degrees): 3.584 3.584 8.983 90.00 90.00 90.00
Element x y z (fractional)
Br (0.500, 0.500, 0.686)
La (0.000, 0.000, 0.973)
La (0.500, 0.500, 0.279)
Li (0.000, 0.000, 0.561)

density of states at the Fermi level	4.2	states/eV per cell
formation energy from raw total energies	-511	meV per atom
magnetization	0.00	μB per cell
symmetry	P4mm


# Nd6DyHo3

A relaxed Nd6DyHo3 crystal (PBE-GGA, Alexandria).

Lattice parameters (Å, degrees): 6.374 11.125 11.125 120.82 90.00 90.00
Element x y z (fractional)
Nd (0.048, 0.712, 0.628)
Nd (0.548, 0.628, 0.712)
Nd (0.361, 0.521, 0.941)
Nd (0.861, 0.941, 0.521)
Nd (0.386, 0.964, 0.036)
Nd (0.652, 0.280, 0.720)
Nd (0.152, 0.720, 0.280)
Nd (0.886, 0.036, 0.964)
Nd (0.361, 0.059, 0.479)
Nd (0.861, 0.479, 0.059)
Nd (0.048, 0.372, 0.288)
Nd (0.548, 0.288, 0.372)
Dy (0.113, 0.195, 0.805)
Dy (0.613, 0.805, 0.195)
Ho (0.467, 0.945, 0.716)
Ho (0.967, 0.716, 0.945)
Ho (0.083, 0.385, 0.615)
Ho (0.583, 0.615, 0.385)
Ho (0.967, 0.055, 0.284)
Ho (0.467, 0.284, 0.055)

density of states at the Fermi level	27.9	states/eV per cell
magnetization	0.00	μB per cell
symmetry	Cmc2_1
calculated formation energy	0.1418	eV per atom


# BaSrPbI6

A relaxed BaSrPbI6 crystal (PBE-GGA, Alexandria).

Lattice parameters (Å, degrees): 8.312 8.312 15.141 90.00 90.00 120.00
Element x y z (fractional)
Ba (0.000, 0.000, 0.000)
Ba (0.000, 0.000, 0.500)
Sr (0.667, 0.333, 0.250)
Sr (0.333, 0.667, 0.750)
Pb (0.333, 0.667, 0.250)
Pb (0.667, 0.333, 0.750)
I (0.646, 0.650, 0.127)
I (0.004, 0.354, 0.127)
I (0.354, 0.004, 0.627)
I (0.996, 0.646, 0.873)
I (0.350, 0.354, 0.373)
I (0.004, 0.650, 0.373)
I (0.650, 0.004, 0.873)
I (0.646, 0.996, 0.373)
I (0.996, 0.350, 0.627)
I (0.350, 0.996, 0.127)
I (0.650, 0.646, 0.627)
I (0.354, 0.350, 0.873)

density of states at the Fermi level	0.0	states/eV per cell
formation energy from raw total energies	-1352	meV per atom
magnetization	0.00	μB per cell
symmetry	P-31c


# Cs2PbCI6

A relaxed Cs2PbCI6 crystal (PBE-GGA, Alexandria).

Lattice parameters (Å, degrees): 8.340 8.340 8.335 59.98 59.98 90.00
Element x y z (fractional)
Pb (0.000, 0.000, 0.000)
Cs (0.750, 0.250, 0.500)
Cs (0.250, 0.750, 0.500)
C (0.500, 0.500, 0.000)
I (0.270, 0.270, 0.459)
I (0.730, 0.730, 0.541)
I (0.270, 0.270, 0.000)
I (0.730, 0.730, 0.000)
I (0.730, 0.270, 0.000)
I (0.270, 0.730, 0.000)

density of states at the Fermi level	0.0	states/eV per cell
formation energy from raw total energies	-308	meV per atom
magnetization	0.00	μB per cell
symmetry	I4/mmm


# YPb3C

A relaxed YPb3C crystal (PBE-GGA, Alexandria).

Lattice parameters (Å, degrees): 5.956 5.956 5.956 90.00 90.00 90.00
Element x y z (fractional)
Pb (0.000, 0.500, 0.000)
Pb (0.000, 0.000, 0.500)
Pb (0.500, 0.000, 0.000)
Y (0.000, 0.000, 0.000)
C (0.500, 0.500, 0.500)

density of states at the Fermi level	7.3	states/eV per cell
magnetization	1.81	μB per cell
symmetry	Pm-3m
calculated formation energy	1.8051	eV per atom


# LaY2Os2

A relaxed LaY2Os2 crystal (PBE-GGA, Alexandria).

Lattice parameters (Å, degrees): 4.971 4.971 6.317 66.83 66.83 90.00
Element x y z (fractional)
Y (0.353, 0.353, 0.295)
Y (0.647, 0.647, 0.705)
Os (0.750, 0.250, 0.500)
Os (0.250, 0.750, 0.500)
La (0.000, 0.000, 0.000)

density of states at the Fermi level	3.7	states/eV per cell
magnetization	0.00	μB per cell
symmetry	I4/mmm
calculated formation energy	0.4250	eV per atom


# PmYHg6

A relaxed PmYHg6 crystal (PBE-GGA, Alexandria).

Lattice parameters (Å, degrees): 5.039 6.703 6.703 119.66 90.00 90.00
Element x y z (fractional)
Pm (0.000, 0.086, 0.914)
Y (0.500, 0.414, 0.586)
Hg (0.000, 0.081, 0.413)
Hg (0.000, 0.587, 0.919)
Hg (0.000, 0.582, 0.418)
Hg (0.500, 0.425, 0.090)
Hg (0.500, 0.910, 0.575)
Hg (0.500, 0.915, 0.085)

density of states at the Fermi level	5.4	states/eV per cell
magnetization	0.00	μB per cell
symmetry	Amm2
calculated formation energy	-0.3701	eV per atom